# Pr2Br2N (PBE, optimized geometry)
# DOS(E_F)   0.308 states/eV/atom
# Final energy   -5.86 eV per atom
# Calculated volume   28.691 Å³/atom
# Energy relative to the elements, uncorrected   -1.62 eV/atom
data_Pr2Br2N
_cell_length_a 6.685
_cell_length_b 3.860
_cell_length_c 11.392
_cell_angle_alpha 90.00
_cell_angle_beta 102.57
_cell_angle_gamma 90.00
_space_group_name_H-M_alt 'C 1 2/m 1'
_space_group_IT_number 12
loop_
_space_group_symop_operation_xyz
'x,y,z'
'-x,-y,-z'
'-x,y,-z'
'x,-y,z'
'x+1/2,y+1/2,z'
'-x+1/2,-y+1/2,-z'
'-x+1/2,y+1/2,-z'
'x+1/2,-y+1/2,z'
loop_
_atom_site_label
_atom_site_fract_x
_atom_site_fract_y
_atom_site_fract_z
Pr1 0.213 0.000 0.124
Br1 0.053 0.000 0.693
N1 0.000 0.500 0.000